# RbNa2CdPb

A relaxed RbNa2CdPb crystal (PBE, Alexandria via LeMat-Bulk).

Properties
The formation enthalpy at 0 K comes out at -0.110 eV per formula unit. Its excess energy over the best structure of this formula in the dataset is 0 meV/atom.

a = 6.092 Å, b = 6.092 Å, c = 5.900 Å
α = 90.00°, β = 90.00°, γ = 90.00°
Element x y z (fractional)
Rb (0.000, 0.000, 0.000)
Na (0.000, 0.500, 0.500)
Na (0.500, 0.000, 0.500)
Cd (0.500, 0.500, 0.000)
Pb (0.500, 0.500, 0.500)